An optimized crystal structure of NaTl11Au5. Source: the Alexandria database, functional PBE-GGA.

As for the total energy: -2.60 eV/atom. The calculation puts the volume at 944.90 Å³ per cell.

It has space group C2/m (No. 12), with a = 11.883 Å, b = 13.630 Å, c = 6.089 Å, α = 90.00°, β = 106.63° and γ = 90.00°. The distinct sites, in fractional coordinates, are Na at (0.000, 0.000, 0.000), Tl at (0.000, 0.000, 0.500), Tl at (0.111, 0.227, 0.292), Tl at (0.139, 0.373, 0.787), Tl at (0.215, 0.500, 0.372), Au at (0.000, 0.500, 0.000) and Au at (0.146, 0.152, 0.818).